# Dy2HoSi

Crystalline Dy2HoSi at its relaxed geometry (PBE-GGA, Alexandria).

Output
raw formation energy	-0.26	eV/atom
energy above the most stable polymorph in this dataset	0	meV per atom

Cell and atoms, written as CIF:
```
data_Dy2HoSi
_chemical_formula_sum 'Dy2 Ho1 Si1'
_cell_length_a 4.620
_cell_length_b 4.620
_cell_length_c 4.616
_cell_angle_alpha 90.00
_cell_angle_beta 90.00
_cell_angle_gamma 90.00
_space_group_name_H-M_alt 'P 4/m m m'
_space_group_IT_number 123
_space_group_name_Hall '-P 4 2'
loop_
_atom_site_label
_atom_site_type_symbol
_atom_site_fract_x
_atom_site_fract_y
_atom_site_fract_z
Dy1 Dy 0.000 0.500 0.000
Ho1 Ho 0.000 0.000 0.500
Si1 Si 0.500 0.500 0.500
```